Record 1
First-principles (PBE) data for a relaxed Ba3Ni2 crystal, as listed in the Alexandria database.

Computed properties:
Energy of formation from the pure elements: 0.1493 eV per atom
Raw total energy: -3.32 eV per atom

Cell: 11.3751 11.3751 11.3751 Å, 22.80 22.80 22.80°
Positions (direct):
Ba1 0.0000 0.0000 0.0000
Ba2 0.7718 0.7718 0.7718
Ni1 0.3902 0.3902 0.3902
Ba3 0.2282 0.2282 0.2282
Ni2 0.6098 0.6098 0.6098

***

Record 2
First-principles (PBE) data for a relaxed Ba7Ni crystal, as listed in the Alexandria database.

Computed properties:
Energy of formation from the pure elements: 0.3046 eV per atom
Raw total energy: -2.10 eV per atom

Cell: 8.4423 8.4423 8.4423 Å, 60.00 60.00 60.00°
Positions (direct):
Ni1 0.0000 0.0000 0.0000
Ba1 0.5000 0.5000 0.0000
Ba2 0.5000 0.0000 0.0000
Ba3 0.0000 0.0000 0.5000
Ba4 0.0000 0.5000 0.5000
Ba5 0.5000 0.5000 0.5000
Ba6 0.0000 0.5000 0.0000
Ba7 0.5000 0.0000 0.5000

***

Record 3
First-principles (PBE) data for a relaxed Ba4Ni crystal, as listed in the Alexandria database.

Computed properties:
Energy of formation from the pure elements: 0.6172 eV per atom
Energy above the most stable polymorph in this dataset: 3.09 eV/f.u.
Raw total energy: -2.08 eV per atom

Cell: 11.8141 11.8141 11.8141 Å, 157.23 157.23 32.43°
Each line ends with the local moment (μB).
Positions (direct):
Ba1 0.2500 0.7500 0.5000  0.05
Ba2 0.5804 0.5804 0.0000  -0.01
Ni1 0.0000 0.0000 0.0000  0.26
Ba3 0.7500 0.2500 0.5000  0.05
Ba4 0.4196 0.4196 0.0000  -0.01

***

Record 4
First-principles (PBE) data for a relaxed Ba4Ni crystal, as listed in the Alexandria database.

Computed properties:
Energy of formation from the pure elements: 0.2140 eV per atom
Energy above the most stable polymorph in this dataset: 1.08 eV/f.u.
Raw total energy: -2.48 eV per atom

Cell: 6.7297 6.7297 6.7297 Å, 109.47 109.47 109.47°
Positions (direct):
Ba1 0.0000 0.0000 0.5000
Ba2 0.5000 0.0000 0.0000
Ba3 0.0000 0.5000 0.0000
Ni1 0.0000 0.0000 0.0000
Ba4 0.5000 0.5000 0.5000

***

Record 5
First-principles (PBE) data for a relaxed Ba3Ni5 crystal, as listed in the Alexandria database.

Computed properties:
Energy of formation from the pure elements: 0.5109 eV per atom
Raw total energy: -3.82 eV per atom

Cell: 6.4484 6.4484 4.6726 Å, 90.00 90.00 111.55°
Positions (direct):
Ba1 0.2468 0.7532 0.5000
Ba2 0.7532 0.2468 0.5000
Ba3 0.5000 0.5000 0.0000
Ni1 0.0000 0.5000 0.0000
Ni2 0.0000 0.0000 0.0000
Ni3 0.1683 0.1683 0.5000
Ni4 0.8317 0.8317 0.5000
Ni5 0.5000 0.0000 0.0000

***

Record 6
First-principles (PBE) data for a relaxed Ba4Ni crystal, as listed in the Alexandria database.

Computed properties:
Energy of formation from the pure elements: 0.1013 eV per atom
Energy above the most stable polymorph in this dataset: 0.51 eV/f.u.
Raw total energy: -2.59 eV per atom

Cell: 7.9227 7.9227 7.9227 Å, 93.69 93.69 150.60°
Positions (direct):
Ba1 0.5583 0.7410 0.2993
Ni1 0.0000 0.0000 0.0000
Ba2 0.4417 0.2590 0.7007
Ba3 0.2590 0.5583 0.8173
Ba4 0.7410 0.4417 0.1827

***

> What is the raw total energy in the fifth record?

-3.82 eV per atom

***

Copy entry 6 word for word.
First-principles (PBE) data for a relaxed Ba4Ni crystal, as listed in the Alexandria database.

Computed properties:
Energy of formation from the pure elements: 0.1013 eV per atom
Energy above the most stable polymorph in this dataset: 0.51 eV/f.u.
Raw total energy: -2.59 eV per atom

Cell: 7.9227 7.9227 7.9227 Å, 93.69 93.69 150.60°
Positions (direct):
Ba1 0.5583 0.7410 0.2993
Ni1 0.0000 0.0000 0.0000
Ba2 0.4417 0.2590 0.7007
Ba3 0.2590 0.5583 0.8173
Ba4 0.7410 0.4417 0.1827